No. 1
Density functional theory data (PBE) for Ac2LuIn after structural relaxation. Values from VASP.

Geometry as Quantum ESPRESSO input:
```
&SYSTEM
  ibrav = 0, nat = 4, ntyp = 3
/
ATOMIC_SPECIES
Ac 227.00 Ac.upf
Lu 174.97 Lu.upf
In 114.82 In.upf
CELL_PARAMETERS angstrom
5.197 0.000 0.000
0.000 5.197 0.000
0.000 0.000 5.150
ATOMIC_POSITIONS angstrom
Ac 0.000 2.599 0.000
Ac 2.599 0.000 0.000
Lu 0.000 0.000 2.575
In 2.599 2.599 2.575
```

Output
Density of states at the Fermi level ... 5.60 states/eV per cell
DFT formation energy ... -142 meV/atom



No. 2
Density functional theory data (PBE) for K2CuICl3 after structural relaxation. Values from VASP.

Geometry as Quantum ESPRESSO input:
```
&SYSTEM
  ibrav = 0, nat = 7, ntyp = 4
/
ATOMIC_SPECIES
K 39.10 K.upf
Cu 63.55 Cu.upf
I 126.90 I.upf
Cl 35.45 Cl.upf
CELL_PARAMETERS angstrom
-2.653 3.003 7.273
2.653 -3.003 7.273
2.653 3.003 -7.273
ATOMIC_POSITIONS angstrom
K 0.000 0.000 1.947
K 0.000 0.000 12.599
Cu 0.000 0.000 7.273
I 0.000 3.003 0.000
Cl 2.653 0.000 0.000
Cl 0.000 0.000 5.033
Cl 0.000 0.000 9.513
```

Output
Density of states at the Fermi level ... 0.61 states/eV per cell
E_form (uncorrected) ... -1.155 eV per atom



No. 3
Density functional theory data (PBE) for Y2CoRu after structural relaxation. Values from VASP.

Geometry as Quantum ESPRESSO input:
```
&SYSTEM
  ibrav = 0, nat = 8, ntyp = 3
/
ATOMIC_SPECIES
Y 88.91 Y.upf
Co 58.93 Co.upf
Ru 101.07 Ru.upf
CELL_PARAMETERS angstrom
-3.638 3.638 3.082
3.638 -3.638 3.082
3.638 3.638 -3.082
ATOMIC_POSITIONS angstrom
Y 5.457 1.728 -0.770
Y 1.728 1.819 0.770
Y -1.819 1.910 2.311
Y 1.910 1.819 3.852
Co 0.000 0.000 0.000
Co 0.000 3.638 1.541
Ru 3.638 0.000 1.541
Ru 0.000 0.000 3.082
```

Output
Density of states at the Fermi level ... 11.95 states/eV per cell
DFT formation energy ... 263 meV/atom



No. 4
Density functional theory data (PBE) for La2YMgTc after structural relaxation. Values from VASP.

Geometry as Quantum ESPRESSO input:
```
&SYSTEM
  ibrav = 0, nat = 5, ntyp = 4
/
ATOMIC_SPECIES
La 138.91 La.upf
Y 88.91 Y.upf
Mg 24.30 Mg.upf
Tc 98.00 Tc.upf
CELL_PARAMETERS angstrom
5.419 0.000 0.000
0.000 5.419 0.000
0.000 0.000 5.571
ATOMIC_POSITIONS angstrom
La 0.000 2.709 0.000
La 2.709 0.000 0.000
Y 0.000 0.000 2.786
Mg 2.709 2.709 2.786
Tc 0.000 0.000 0.000
```

Output
Density of states at the Fermi level ... 5.51 states/eV per cell
DFT formation energy ... 26 meV/atom



No. 5
Density functional theory data (PBE) for Tl3H9Ir2 after structural relaxation. Values from VASP.

Geometry as Quantum ESPRESSO input:
```
&SYSTEM
  ibrav = 0, nat = 28, ntyp = 3
/
ATOMIC_SPECIES
Tl 204.38 Tl.upf
H 1.01 H.upf
Ir 192.22 Ir.upf
CELL_PARAMETERS angstrom
5.834 0.000 0.000
-2.917 5.052 0.000
0.000 0.000 14.459
ATOMIC_POSITIONS angstrom
Tl 0.000 0.000 3.615
Tl 0.000 0.000 10.844
Tl 0.000 3.368 1.333
Tl 0.000 3.368 5.896
Tl 2.917 1.684 8.563
Tl 2.917 1.684 13.125
H -1.174 2.690 10.844
H 0.000 2.157 8.481
H 0.000 2.157 13.207
H -1.049 3.974 8.481
H -1.049 3.974 13.207
H 1.868 1.079 1.251
H 1.868 1.079 5.978
H 1.174 2.690 10.844
H 0.000 4.724 10.844
H 2.917 0.328 3.615
H 1.743 2.362 3.615
H 1.049 3.974 8.481
H 1.049 3.974 13.207
H 3.966 1.079 1.251
H 3.966 1.079 5.978
H 2.917 2.895 1.251
H 2.917 2.895 5.978
H 4.091 2.362 3.615
Ir 0.000 3.368 9.560
Ir 0.000 3.368 12.128
Ir 2.917 1.684 2.330
Ir 2.917 1.684 4.899
```

Output
VASP energy ... -109.0 eV for the cell shown



No. 6
Density functional theory data (PBE) for TmZrAg after structural relaxation. Values from VASP.

Geometry as Quantum ESPRESSO input:
```
&SYSTEM
  ibrav = 0, nat = 3, ntyp = 3
/
ATOMIC_SPECIES
Tm 168.93 Tm.upf
Zr 91.22 Zr.upf
Ag 107.87 Ag.upf
CELL_PARAMETERS angstrom
-1.674 1.674 6.217
1.674 -1.674 6.217
1.674 1.674 -6.217
ATOMIC_POSITIONS angstrom
Tm 0.000 0.000 0.000
Zr 0.000 0.000 8.453
Ag 0.000 0.000 4.135
```

Output
Density of states at the Fermi level ... 4.56 states/eV per cell
DFT formation energy ... -100 meV/atom



No. 7
Density functional theory data (PBE) for Bi5AsPd4 after structural relaxation. Values from VASP.

Geometry as Quantum ESPRESSO input:
```
&SYSTEM
  ibrav = 0, nat = 10, ntyp = 3
/
ATOMIC_SPECIES
Bi 208.98 Bi.upf
As 74.92 As.upf
Pd 106.42 Pd.upf
CELL_PARAMETERS angstrom
8.036 -2.175 0.000
8.036 2.175 0.000
-1.019 0.000 6.974
ATOMIC_POSITIONS angstrom
Bi 0.000 0.000 0.000
Bi 4.807 0.000 2.714
Bi 4.448 0.000 6.285
Bi 10.605 0.000 0.689
Bi 10.247 0.000 4.260
As -0.510 0.000 3.487
Pd 1.877 0.000 2.420
Pd 7.103 0.000 4.870
Pd 7.950 0.000 2.105
Pd 13.176 0.000 4.554
```

Output
Density of states at the Fermi level ... 5.54 states/eV per cell
DFT formation energy ... -201 meV/atom



No. 8
Density functional theory data (PBE) for ZrAl3Rh after structural relaxation. Values from VASP.

Geometry as Quantum ESPRESSO input:
```
&SYSTEM
  ibrav = 0, nat = 20, ntyp = 3
/
ATOMIC_SPECIES
Zr 91.22 Zr.upf
Al 26.98 Al.upf
Rh 102.91 Rh.upf
CELL_PARAMETERS angstrom
8.003 0.000 0.000
0.000 5.296 0.000
-1.267 0.000 7.874
ATOMIC_POSITIONS angstrom
Zr 0.679 0.644 1.653
Zr 0.045 2.004 5.590
Zr 6.691 3.292 2.284
Zr 6.058 4.652 6.221
Al 0.935 3.383 0.430
Al 0.302 4.562 4.367
Al 1.783 3.154 2.827
Al 1.150 4.790 6.764
Al 2.415 0.848 4.323
Al 3.048 1.801 0.386
Al 3.688 3.496 7.488
Al 4.321 4.449 3.551
Al 5.587 0.506 1.110
Al 4.953 2.142 5.047
Al 6.434 0.735 3.508
Al 5.801 1.913 7.445
Rh 2.744 3.416 5.170
Rh 3.378 4.529 1.233
Rh 3.359 0.768 6.641
Rh 3.992 1.880 2.704
```

Output
Density of states at the Fermi level ... 6.61 states/eV per cell
DFT formation energy ... -622 meV/atom



No. 9
Density functional theory data (PBE) for TcTe2I2 after structural relaxation. Values from VASP.

Geometry as Quantum ESPRESSO input:
```
&SYSTEM
  ibrav = 0, nat = 10, ntyp = 3
/
ATOMIC_SPECIES
Tc 98.00 Tc.upf
Te 127.60 Te.upf
I 126.90 I.upf
CELL_PARAMETERS angstrom
7.300 0.000 0.000
0.000 7.300 0.000
0.000 0.000 7.576
ATOMIC_POSITIONS angstrom
Tc 0.000 0.000 0.000
Tc 3.650 3.650 0.000
Te 0.933 2.717 3.788
Te 2.717 6.367 3.788
Te 4.583 0.933 3.788
Te 6.367 4.583 3.788
I 1.271 4.921 0.000
I 2.379 1.271 0.000
I 4.921 6.029 0.000
I 6.029 2.379 0.000
```

Output
Density of states at the Fermi level ... 9.46 states/eV per cell
E_form (uncorrected) ... 0.620 eV per atom



No. 10
Density functional theory data (PBE) for Dy5Tm8Sc after structural relaxation. Values from VASP.

Geometry as Quantum ESPRESSO input:
```
&SYSTEM
  ibrav = 0, nat = 14, ntyp = 3
/
ATOMIC_SPECIES
Dy 162.50 Dy.upf
Tm 168.93 Tm.upf
Sc 44.96 Sc.upf
CELL_PARAMETERS angstrom
7.543 -4.092 0.000
7.543 4.092 0.000
-4.241 0.000 7.092
ATOMIC_POSITIONS angstrom
Dy 0.000 0.000 0.000
Dy 3.731 1.224 5.126
Dy 7.114 1.224 1.966
Dy 5.788 -1.378 0.189
Dy 5.057 -1.378 6.903
Tm 0.761 1.889 6.593
Tm -0.916 -0.443 4.805
Tm 3.698 0.406 2.022
Tm 10.084 1.889 0.500
Tm 2.292 -2.074 4.025
Tm 7.147 0.406 5.070
Tm 11.761 -0.443 2.288
Tm 8.553 -2.074 3.067
Sc 5.422 -1.767 3.546
```

Output
Density of states at the Fermi level ... 21.64 states/eV per cell
DFT formation energy ... 201 meV/atom



No. 11
Density functional theory data (PBE) for LaYMnAl after structural relaxation. Values from VASP.

Geometry as Quantum ESPRESSO input:
```
&SYSTEM
  ibrav = 0, nat = 4, ntyp = 4
/
ATOMIC_SPECIES
La 138.91 La.upf
Y 88.91 Y.upf
Mn 54.94 Mn.upf
Al 26.98 Al.upf
CELL_PARAMETERS angstrom
0.000 3.690 3.690
3.690 0.000 3.690
3.690 3.690 0.000
ATOMIC_POSITIONS angstrom
La 0.000 0.000 0.000
Y 3.690 3.690 3.690
Mn 5.535 5.535 5.535
Al 1.845 1.845 1.845
```

Output
Density of states at the Fermi level ... 4.63 states/eV per cell
DFT formation energy ... -37 meV/atom



No. 12
Density functional theory data (PBE) for K2U3Te8 after structural relaxation. Values from VASP.

Geometry as Quantum ESPRESSO input:
```
&SYSTEM
  ibrav = 0, nat = 13, ntyp = 3
/
ATOMIC_SPECIES
K 39.10 K.upf
U 238.03 U.upf
Te 127.60 Te.upf
CELL_PARAMETERS angstrom
5.283 -8.791 0.000
5.283 8.791 0.000
0.000 0.000 5.229
ATOMIC_POSITIONS angstrom
K 5.283 4.493 0.000
K 5.283 -4.493 0.000
U 2.344 0.000 2.615
U 5.283 0.000 0.000
U 8.221 0.000 2.615
Te 5.283 6.889 2.615
Te 2.748 1.787 0.000
Te 2.748 -1.787 0.000
Te 5.283 1.713 2.615
Te 5.283 -1.713 2.615
Te 7.817 1.787 0.000
Te 7.817 -1.787 0.000
Te 5.283 -6.889 2.615
```

Output
Density of states at the Fermi level ... 12.44 states/eV per cell
E_form (uncorrected) ... -0.664 eV per atom